Record 1
Here is an optimized crystal structure of RbTl2HgRu from Alexandria via LeMat-Bulk. Energies are from PBE.

abc: 5.332 5.332 5.473
angles: 90.00 90.00 90.00
Positions (direct):
Rb (0.000, 0.000, 0.000)
Tl (0.000, 0.500, 0.500)
Tl (0.500, 0.000, 0.500)
Hg (0.500, 0.500, 0.000)
Ru (0.500, 0.500, 0.500)

Properties
Formation energy   42 meV/atom
E   -3.01 eV per atom
Volume   31.12 A^3/atom
SG   P4/mmm (123)

Record 2
Here is an optimized crystal structure of RbZnHgRu2 from Alexandria via LeMat-Bulk. Energies are from PBE.

abc: 4.964 4.964 5.537
angles: 90.00 90.00 90.00
Positions (direct):
Rb (0.000, 0.000, 0.000)
Zn (0.000, 0.000, 0.500)
Hg (0.500, 0.500, 0.500)
Ru (0.000, 0.500, 0.000)
Ru (0.500, 0.000, 0.000)

Properties
Formation energy   2371 meV/atom
E   -1.85 eV per atom
Volume   27.28 A^3/atom
SG   P4/mmm (123)

Record 3
Here is an optimized crystal structure of Rb2Hg2S from Alexandria via LeMat-Bulk. Energies are from PBE.

abc: 8.415 8.415 6.185
angles: 90.00 90.00 90.00
Positions (direct):
Rb (0.165, 0.335, 0.000)
Rb (0.335, 0.835, 0.000)
Rb (0.665, 0.165, 0.000)
Rb (0.835, 0.665, 0.000)
Hg (0.151, 0.651, 0.500)
Hg (0.349, 0.151, 0.500)
Hg (0.651, 0.849, 0.500)
Hg (0.849, 0.349, 0.500)
S (0.000, 0.000, 0.000)
S (0.500, 0.500, 0.000)

Properties
E   -1.70 eV per atom
Energy relative to the lowest polymorph listed for this composition   0.0000 eV/atom
Volume   43.80 A^3/atom
SG   P4/mbm (127)

Record 4
Here is an optimized crystal structure of RbHgS3 from Alexandria via LeMat-Bulk. Energies are from PBE.

abc: 6.558 6.558 6.558
angles: 90.00 90.00 90.00
Positions (direct):
Rb (0.000, 0.000, 0.000)
Hg (0.500, 0.500, 0.500)
S (0.000, 0.000, 0.500)
S (0.000, 0.500, 0.000)
S (0.500, 0.000, 0.000)

Properties
E   -1.70 eV per atom
Energy relative to the lowest polymorph listed for this composition   0.8767 eV/atom
Volume   56.41 A^3/atom
SG   Pm-3m (221)

Record 5
Here is an optimized crystal structure of RbHgS from Alexandria via LeMat-Bulk. Energies are from PBE.

abc: 4.857 4.857 4.864
angles: 90.00 90.00 120.00
Positions (direct):
Rb (0.000, 0.000, 0.000)
Hg (0.667, 0.333, 0.500)
S (0.333, 0.667, 0.500)

Properties
E   -2.26 eV per atom
Energy relative to the lowest polymorph listed for this composition   0.1085 eV/atom
Volume   33.13 A^3/atom
SG   P-6m2 (187)

Record 6
Here is an optimized crystal structure of RbHgS from Alexandria via LeMat-Bulk. Energies are from PBE.

abc: 4.807 8.313 8.365
angles: 98.74 106.29 105.86
Positions (direct):
Rb (0.000, 0.000, 0.000)
Rb (0.388, 0.404, 0.402)
Hg (0.686, 0.507, 0.893)
Hg (0.711, 0.897, 0.508)
S (0.693, 0.288, 0.116)
S (0.695, 0.116, 0.287)

Properties
E   -2.31 eV per atom
Energy relative to the lowest polymorph listed for this composition   0.0608 eV/atom
Volume   49.84 A^3/atom
SG   P1 (1)

Record 7
Here is an optimized crystal structure of RbHg5S6 from Alexandria via LeMat-Bulk. Energies are from PBE.

abc: 7.164 7.164 7.241
angles: 102.22 102.22 110.49
Positions (direct):
Rb (0.000, 0.000, 0.000)
Hg (0.165, 0.835, 0.500)
Hg (0.326, 0.674, 0.000)
Hg (0.500, 0.500, 0.500)
Hg (0.674, 0.326, 0.000)
Hg (0.835, 0.165, 0.500)
S (0.182, 0.533, 0.234)
S (0.227, 0.227, 0.604)
S (0.467, 0.818, 0.766)
S (0.533, 0.182, 0.234)
S (0.773, 0.773, 0.396)
S (0.818, 0.467, 0.766)

Properties
E   -2.44 eV per atom
Volume   26.94 A^3/atom
SG   C2/m (12)

Record 8
Here is an optimized crystal structure of Rb3HgS8 from Alexandria via LeMat-Bulk. Energies are from PBE.

abc: 8.305 8.305 8.143
angles: 112.52 112.52 104.29
Positions (direct):
Rb (0.000, 0.000, 0.000)
Rb (0.264, 0.764, 0.500)
Rb (0.764, 0.264, 0.500)
Hg (0.418, 0.418, 0.999)
S (0.107, 0.107, 0.504)
S (0.210, 0.580, 0.000)
S (0.406, 0.988, 0.000)
S (0.412, 0.412, 0.505)
S (0.580, 0.210, 0.000)
S (0.604, 0.604, 0.496)
S (0.907, 0.907, 0.496)
S (0.988, 0.406, 0.000)

Properties
E   -3.39 eV per atom
Volume   35.44 A^3/atom
SG   Cm (8)

Which magnetization belongs to each record? In order, 0.00; 0.67; 0.00; 1.00; 0.00; 0.00; 0.00; 0.25 μB per atom.